Record 1
A relaxed structure of RbSr2As2O6. Source: Alexandria via LeMat-Bulk, functional PBE.

```
data_RbSr2As2O6
_cell_length_a 6.220
_cell_length_b 6.788
_cell_length_c 6.938
_cell_angle_alpha 62.52
_cell_angle_beta 65.28
_cell_angle_gamma 84.58
_symmetry_space_group_name_H-M 'P -1'
_symmetry_Int_Tables_number 2
_symmetry_space_group_name_Hall '-P 1'
loop_
_atom_site_label
_atom_site_fract_x
_atom_site_fract_y
_atom_site_fract_z
Rb1 0.000 0.000 0.000
Sr1 0.326 0.209 0.306
As1 0.355 0.674 0.400
O1 0.103 0.824 0.420
O2 0.446 0.125 0.641
O3 0.447 0.641 0.140
```

Results
* formation energy without anion corrections: -1962.6 meV per atom
* DOS(E_F): 1.127 states/eV/cell

=====

Record 2
A relaxed structure of RbSrAsO4. Source: Alexandria via LeMat-Bulk, functional PBE.

```
data_RbSrAsO4
_cell_length_a 6.896
_cell_length_b 10.602
_cell_length_c 7.516
_cell_angle_alpha 90.00
_cell_angle_beta 90.00
_cell_angle_gamma 90.00
_symmetry_space_group_name_H-M 'C m c m'
_symmetry_Int_Tables_number 63
_symmetry_space_group_name_Hall '-C 2c 2'
loop_
_atom_site_label
_atom_site_fract_x
_atom_site_fract_y
_atom_site_fract_z
Rb1 0.000 0.000 0.000
Sr1 0.000 0.339 0.250
As1 0.000 0.361 0.750
O1 0.000 0.268 0.563
O2 0.197 0.463 0.750
```

Results
* formation energy without anion corrections: -1975.8 meV per atom
* DOS(E_F): 0.000 states/eV/cell

=====

Record 3
A relaxed structure of RbSrAs2O6. Source: Alexandria via LeMat-Bulk, functional PBE.

```
data_RbSrAs2O6
_cell_length_a 10.908
_cell_length_b 10.713
_cell_length_c 6.290
_cell_angle_alpha 90.00
_cell_angle_beta 105.06
_cell_angle_gamma 90.00
_symmetry_space_group_name_H-M 'C 1 2/c 1'
_symmetry_Int_Tables_number 15
_symmetry_space_group_name_Hall '-C 2yc'
loop_
_atom_site_label
_atom_site_fract_x
_atom_site_fract_y
_atom_site_fract_z
Rb1 0.000 0.190 0.250
Sr1 0.000 0.389 0.750
As1 0.214 0.079 0.778
O1 0.122 0.427 0.145
O2 0.157 0.227 0.718
O3 0.158 0.015 0.019
```

Results
* formation energy without anion corrections: -1713.5 meV per atom
* DOS(E_F): 9.805 states/eV/cell

=====

Record 4
A relaxed structure of RbTaAsO6. Source: Alexandria via LeMat-Bulk, functional PBE.

```
data_RbTaAsO6
_cell_length_a 5.2623
_cell_length_b 5.2623
_cell_length_c 6.2612
_cell_angle_alpha 90.00
_cell_angle_beta 90.00
_cell_angle_gamma 120.00
_symmetry_space_group_name_H-M 'P 3 1 2'
_symmetry_Int_Tables_number 149
_symmetry_space_group_name_Hall 'P 3 2'
loop_
_atom_site_label
_atom_site_fract_x
_atom_site_fract_y
_atom_site_fract_z
Rb1 0.0000 0.0000 0.0000
Ta1 0.6667 0.3333 0.5000
As1 0.3333 0.6667 0.5000
O1 0.0194 0.4062 0.6699
```

Results
* formation energy without anion corrections: -1775.9 meV per atom
* DOS(E_F): 4.171 states/eV/cell

=====

Record 5
A relaxed structure of RbTaAsO5. Source: Alexandria via LeMat-Bulk, functional PBE.

```
data_RbTaAsO5
_cell_length_a 7.391
_cell_length_b 9.700
_cell_length_c 7.651
_cell_angle_alpha 90.00
_cell_angle_beta 115.69
_cell_angle_gamma 90.00
_symmetry_space_group_name_H-M 'C 1 2/c 1'
_symmetry_Int_Tables_number 15
_symmetry_space_group_name_Hall '-C 2yc'
loop_
_atom_site_label
_atom_site_fract_x
_atom_site_fract_y
_atom_site_fract_z
Rb1 0.000 0.170 0.250
Ta1 0.000 0.500 0.000
As1 0.000 0.190 0.750
O1 0.000 0.451 0.250
O2 0.084 0.306 0.608
O3 0.212 0.072 0.899
```

Results
* formation energy without anion corrections: -1932.3 meV per atom
* DOS(E_F): 6.157 states/eV/cell

=====

Record 6
A relaxed structure of RbTa2AsO8. Source: Alexandria via LeMat-Bulk, functional PBE.

```
data_RbTa2AsO8
_cell_length_a 9.306
_cell_length_b 5.586
_cell_length_c 9.150
_cell_angle_alpha 90.00
_cell_angle_beta 107.32
_cell_angle_gamma 90.00
_symmetry_space_group_name_H-M 'C 1 2/m 1'
_symmetry_Int_Tables_number 12
_symmetry_space_group_name_Hall '-C 2y'
loop_
_atom_site_label
_atom_site_fract_x
_atom_site_fract_y
_atom_site_fract_z
Rb1 0.000 0.000 0.000
Ta1 0.198 0.000 0.672
As1 0.000 0.500 0.500
O1 0.068 0.269 0.649
O2 0.185 0.500 0.465
O3 0.192 0.500 0.132
```

Results
* formation energy without anion corrections: -2109.7 meV per atom
* DOS(E_F): 0.000 states/eV/cell

=====

Record 7
A relaxed structure of RbTbAs2O6. Source: Alexandria via LeMat-Bulk, functional PBE.

```
data_RbTbAs2O6
_cell_length_a 5.8804
_cell_length_b 5.8804
_cell_length_c 18.5489
_cell_angle_alpha 90.00
_cell_angle_beta 90.00
_cell_angle_gamma 120.00
_symmetry_space_group_name_H-M 'R -3'
_symmetry_Int_Tables_number 148
_symmetry_space_group_name_Hall '-R 3'
loop_
_atom_site_label
_atom_site_fract_x
_atom_site_fract_y
_atom_site_fract_z
Rb1 0.0000 0.0000 0.0000
Tb1 0.0000 0.0000 0.5000
As1 0.0000 0.0000 0.2640
O1 0.0242 0.4258 0.9028
```

Results
* formation energy without anion corrections: -1778.2 meV per atom
* DOS(E_F): 2.021 states/eV/cell

=====

Record 8
A relaxed structure of Rb2TbAs2O6. Source: Alexandria via LeMat-Bulk, functional PBE.

```
data_Rb2TbAs2O6
_cell_length_a 10.254
_cell_length_b 6.049
_cell_length_c 7.398
_cell_angle_alpha 90.00
_cell_angle_beta 115.87
_cell_angle_gamma 90.00
_symmetry_space_group_name_H-M 'C 1 2/m 1'
_symmetry_Int_Tables_number 12
_symmetry_space_group_name_Hall '-C 2y'
loop_
_atom_site_label
_atom_site_fract_x
_atom_site_fract_y
_atom_site_fract_z
Rb1 0.216 0.000 0.187
Tb1 0.000 0.000 0.500
As1 0.070 0.500 0.220
O1 0.013 0.267 0.730
O2 0.245 0.000 0.609
```

Results
* formation energy without anion corrections: -1918.3 meV per atom
* DOS(E_F): 3.414 states/eV/cell

=====

Record 9
A relaxed structure of RbTcAsO6. Source: Alexandria via LeMat-Bulk, functional PBE.

```
data_RbTcAsO6
_cell_length_a 5.1608
_cell_length_b 5.1608
_cell_length_c 6.3205
_cell_angle_alpha 90.00
_cell_angle_beta 90.00
_cell_angle_gamma 120.00
_symmetry_space_group_name_H-M 'P 3 1 2'
_symmetry_Int_Tables_number 149
_symmetry_space_group_name_Hall 'P 3 2'
loop_
_atom_site_label
_atom_site_fract_x
_atom_site_fract_y
_atom_site_fract_z
Rb1 0.0000 0.0000 0.0000
Tc1 0.3333 0.6667 0.5000
As1 0.6667 0.3333 0.5000
O1 0.4120 0.0059 0.6734
```

Results
* formation energy without anion corrections: -1391.1 meV per atom
* DOS(E_F): 2.603 states/eV/cell

=====

Record 10
A relaxed structure of RbTc2AsO8. Source: Alexandria via LeMat-Bulk, functional PBE.

```
data_RbTc2AsO8
_cell_length_a 8.854
_cell_length_b 5.999
_cell_length_c 8.506
_cell_angle_alpha 90.00
_cell_angle_beta 96.58
_cell_angle_gamma 90.00
_symmetry_space_group_name_H-M 'C 1 2/m 1'
_symmetry_Int_Tables_number 12
_symmetry_space_group_name_Hall '-C 2y'
loop_
_atom_site_label
_atom_site_fract_x
_atom_site_fract_y
_atom_site_fract_z
Rb1 0.000 0.000 0.000
Tc1 0.119 0.500 0.285
As1 0.000 0.000 0.500
O1 0.009 0.254 0.310
O2 0.189 0.500 0.102
O3 0.225 0.000 0.556
```

Results
* formation energy without anion corrections: -1324.7 meV per atom
* DOS(E_F): 10.816 states/eV/cell

=====

Record 11
A relaxed structure of RbTe2AsO8. Source: Alexandria via LeMat-Bulk, functional PBE.

```
data_RbTe2AsO8
_cell_length_a 10.552
_cell_length_b 5.867
_cell_length_c 7.380
_cell_angle_alpha 90.00
_cell_angle_beta 108.55
_cell_angle_gamma 90.00
_symmetry_space_group_name_H-M 'C 1 2/m 1'
_symmetry_Int_Tables_number 12
_symmetry_space_group_name_Hall '-C 2y'
loop_
_atom_site_label
_atom_site_fract_x
_atom_site_fract_y
_atom_site_fract_z
Rb1 0.000 0.000 0.000
Te1 0.201 0.000 0.623
As1 0.000 0.500 0.500
O1 0.111 0.500 0.280
O2 0.117 0.248 0.699
O3 0.164 0.000 0.367
```

Results
* formation energy without anion corrections: -846.6 meV per atom

=====

Record 12
A relaxed structure of Rb2TeAsO6. Source: Alexandria via LeMat-Bulk, functional PBE.

```
data_Rb2TeAsO6
_cell_length_a 8.059
_cell_length_b 8.059
_cell_length_c 8.059
_cell_angle_alpha 90.00
_cell_angle_beta 90.00
_cell_angle_gamma 90.00
_symmetry_space_group_name_H-M 'F m -3 m'
_symmetry_Int_Tables_number 225
_symmetry_space_group_name_Hall '-F 4 2 3'
loop_
_atom_site_label
_atom_site_fract_x
_atom_site_fract_y
_atom_site_fract_z
Rb1 0.250 0.250 0.250
Te1 0.000 0.000 0.000
As1 0.000 0.000 0.500
O1 0.000 0.000 0.253
```

Results
* formation energy without anion corrections: -1067.0 meV per atom
* DOS(E_F): 5.621 states/eV/cell

=====

- Among the records above, which one has the lowest formation energy without anion corrections?
  RbTa2AsO8